## TiMn2SnO6 (PBE with a Hubbard U)

Data for a geometry-optimized TiMn2SnO6 structure.

Results
**Space-group type**: No. 146
**Theoretical density**: 5.30 g cm⁻³
**Calculated total energy**: -7.712 eV/atom
**Density of states at the Fermi level**: 0.00 states/eV per cell

a = 5.3618 Å, b = 5.3617 Å, c = 5.6154 Å
α = 61.49°, β = 61.48°, γ = 60.00°
Each line ends with the local moment (μB).
Fractional positions:
Ti 0.8118 0.8118 0.5646  0.09
Mn 0.5342 0.5342 0.3973  4.63
Mn 0.0291 0.0291 0.9128  4.62
Sn 0.3137 0.3137 0.0590  0.02
O 0.6044 0.1867 0.2672  0.04
O 0.1867 0.9417 0.2672  0.04
O 0.9417 0.6044 0.2672  0.04
O 0.4606 0.6956 0.7600  0.03
O 0.6956 0.0838 0.7599  0.03
O 0.0838 0.4607 0.7600  0.03